[1]
## MoIrCl2 (PBE)

Data for crystalline MoIrCl2 at its relaxed geometry.

```
4
Lattice="-0.6964 1.7806 7.3617 -4.8609 -1.2183 5.7217 4.8779 -1.6754 -5.5901" Properties=species:S:1:pos:R:3 pbc="T T T"
Cl -0.6064 0.0613 1.4276
Cl -2.1723 0.2198 5.1142
Mo -1.3808 -1.3063 3.3367
Ir 0.7015 0.1932 4.1567
```

## Properties
DOS(E_F) ... 3.27 states/eV/f.u.
Uncorrected energy ... -5.649 eV/atom
E_form (uncorrected) ... 0.1973 eV per atom
Total magnetization ... 0.13 μB per atom
Space group ... Immm, No. 71



[2]
## Pr2Dy3Pt4 (PBE)

Data for crystalline Pr2Dy3Pt4 at its relaxed geometry.

```
18
Lattice="-0.6765 4.3158 6.5998 -0.3490 -7.4197 1.7978 7.6297 -0.1462 0.8777" Properties=species:S:1:pos:R:3 pbc="T T T"
Pr 2.0036 1.0100 4.4957
Pr 4.6006 -4.2601 4.7796
Pr 1.2210 -1.1265 1.0669
Pr 5.3832 -2.1236 8.2084
Pt 7.0547 0.7518 3.4250
Pt -0.4505 -4.0019 5.8503
Pt 0.2584 0.0439 6.7752
Pt 2.3654 -2.1479 3.6788
Pt 4.2387 -1.1022 5.5965
Pt 3.1122 -6.2216 2.9213
Pt 6.3458 -3.2940 2.5001
Pt 3.4920 2.9715 6.3540
Dy 0.8139 -4.5435 3.1575
Dy 3.6404 -3.7829 1.3378
Dy 5.7903 1.2934 6.1178
Dy -0.5128 -1.5519 4.1988
Dy 4.8082 -0.8392 2.6661
Dy 1.7960 -2.4109 6.6093
```

## Properties
DOS(E_F) ... 5.59 states/eV/f.u.
Uncorrected energy ... -6.418 eV/atom
DFT formation energy ... -1.137 eV per atom
Total magnetization ... 0.00 μB per atom
Space group ... P2_1/c, No. 14



[3]
## CsTlTe3 (PBE)

Data for crystalline CsTlTe3 at its relaxed geometry.

```
5
Lattice="-5.3128 2.4102 -2.7197 -3.2760 -1.0920 5.4320 1.5726 5.8677 2.1280" Properties=species:S:1:pos:R:3 pbc="T T T"
Cs 0.0000 0.0000 0.0000
Te -1.6380 -0.5460 2.7160
Te 0.7863 2.9338 1.0640
Te -2.6564 1.2051 -1.3598
Tl -3.5081 3.5929 2.4201
```

## Properties
DOS(E_F) ... 10.34 states/eV/f.u.
Uncorrected energy ... -1.908 eV/atom
E_form (uncorrected) ... 0.6211 eV per atom
Total magnetization ... 0.00 μB per atom
Space group ... Pm-3m, No. 221



[4]
## CePrNdGa (PBE)

Data for crystalline CePrNdGa at its relaxed geometry.

```
4
Lattice="-0.9824 0.9867 5.2106 -4.4955 -1.8921 2.3021 0.2946 -4.0012 3.6046" Properties=species:S:1:pos:R:3 pbc="T T T"
Ga -2.5917 -2.4533 5.5587
Pr -3.8875 -3.6799 8.3380
Ce 0.0000 0.0000 0.0000
Nd -1.2958 -1.2266 2.7793
```

## Properties
DOS(E_F) ... 6.79 states/eV/f.u.
Uncorrected energy ... -4.673 eV/atom
DFT formation energy ... -0.045 eV per atom
Total magnetization ... 0.00 μB per atom
Space group ... F-43m, No. 216



[5]
## Ac8Ga3AsI4 (PBE)

Data for crystalline Ac8Ga3AsI4 at its relaxed geometry.

```
16
Lattice="9.3658 0.0000 0.0000 0.0000 9.6399 0.1894 -4.6829 -4.6800 6.6246" Properties=species:S:1:pos:R:3 pbc="T T T"
Ac 4.6829 4.6014 3.2507
Ac 2.3584 2.6932 0.2593
Ac 0.0000 4.5897 3.2665
Ac 0.0000 0.3585 3.5634
Ac 4.6829 0.3702 3.5476
Ac -2.3245 2.2667 6.5548
Ac 2.3245 2.2667 6.5548
Ac 7.0073 2.6932 0.2593
As 0.0000 4.8199 0.0947
Ga 2.3414 2.4800 3.4070
Ga 4.6829 4.8199 0.0947
Ga -2.3414 2.4800 3.4070
I 0.0000 0.0000 0.0000
I 2.3414 -2.3400 3.3123
I -2.3414 -2.3400 3.3123
I 4.6829 0.0000 0.0000
```

## Properties
DOS(E_F) ... 8.96 states/eV/f.u.
Uncorrected energy ... -4.200 eV/atom
E_form (uncorrected) ... -0.8998 eV per atom
Total magnetization ... 0.00 μB per atom
Space group ... R-3m, No. 166



[6]
## Li2CdGeO (PBE)

Data for crystalline Li2CdGeO at its relaxed geometry.

```
5
Lattice="4.9071 0.0000 0.0000 0.0000 4.9494 0.0000 0.0000 0.0000 4.9071" Properties=species:S:1:pos:R:3 pbc="T T T"
O 2.4535 2.4747 2.4535
Li 0.0000 0.0000 2.4535
Li 2.4535 0.0000 0.0000
Ge 0.0000 0.0000 0.0000
Cd 0.0000 2.4747 0.0000
```

## Properties
DOS(E_F) ... 2.35 states/eV/f.u.
Uncorrected energy ... -2.539 eV/atom
E_form (uncorrected) ... 0.3246 eV per atom
Total magnetization ... 0.40 μB per atom
Space group ... P4/mmm, No. 123



[7]
## Cu3BiTe2ClO8 (PBE)

Data for crystalline Cu3BiTe2ClO8 at its relaxed geometry.

```
60
Lattice="6.4463 0.0000 0.0000 0.0000 10.0091 0.0000 0.0000 0.0000 14.4401" Properties=species:S:1:pos:R:3 pbc="T T T"
Cu 3.3027 5.1333 3.7489
Cu 0.0795 0.1287 3.4712
Cu 5.2378 2.5023 9.2588
Cu 3.3027 9.8804 3.7489
Cu 2.0146 7.5068 12.4014
Cu 4.4318 2.5023 2.0387
Cu 3.1437 4.8758 10.6913
Cu 6.3668 9.8804 10.9690
Cu 6.3668 5.1333 10.9690
Cu 3.1437 0.1287 10.6913
Cu 0.0795 4.8758 3.4712
Cu 1.2086 7.5068 5.1814
O 3.5450 6.0427 2.0314
O 0.3218 3.9664 5.1887
O 4.8584 1.1363 10.6644
O 3.5450 8.9710 2.0314
O 5.3149 1.2009 7.7407
O 3.1626 4.4160 5.5791
O 5.3149 3.8036 7.7407
O 6.1246 8.9710 9.2515
O 6.1246 6.0427 9.2515
O 4.8111 3.8683 3.4443
O 0.0606 4.4160 12.7991
O 1.5879 6.1408 3.7758
O 4.8111 1.1363 3.4443
O 4.3546 1.2009 0.5207
O 2.9014 3.9664 12.4087
O 3.2838 5.5931 8.8611
O 1.6353 6.1408 10.9958
O 4.8584 3.8683 10.6644
O 0.0606 0.5885 12.7991
O 1.1314 6.2055 6.6994
O 1.6353 8.8728 10.9958
O 1.5879 8.8728 3.7758
O 4.3546 3.8036 0.5207
O 2.0917 6.2055 13.9195
O 3.2838 9.4206 8.8611
O 2.0917 8.8082 13.9195
O 0.3218 1.0381 5.1887
O 2.9014 1.0381 12.4087
O 6.3857 5.5931 1.6410
O 1.1314 8.8082 6.6994
O 3.1626 0.5885 5.5791
O 6.3857 9.4206 1.6410
Te 4.7706 9.3684 0.6112
Te 1.6758 4.3639 13.8290
Te 1.5474 4.3639 6.6089
Te 4.8990 9.3684 7.8312
Te 4.8990 5.6452 7.8312
Te 4.7706 5.6452 0.6112
Te 1.5474 0.6407 6.6089
Te 1.6758 0.6407 13.8290
Cl 1.4292 2.5023 9.6819
Cl 5.0171 7.5068 4.7583
Cl 4.6524 7.5068 11.9784
Cl 1.7939 2.5023 2.4618
Bi 1.5224 7.5068 9.1481
Bi 1.7007 7.5068 1.9280
Bi 4.9239 2.5023 5.2921
Bi 4.7456 2.5023 12.5121
```

## Properties
DOS(E_F) ... 0.85 states/eV/f.u.
Uncorrected energy ... -5.119 eV/atom
E_form (uncorrected) ... -0.8551 eV per atom
Total magnetization ... 0.20 μB per atom
Space group ... Pnma, No. 62



[8]
## Zr2Hg2N (PBE)

Data for crystalline Zr2Hg2N at its relaxed geometry.

```
5
Lattice="3.2663 0.0000 0.5127 1.5929 2.8516 0.5127 0.0958 0.0562 10.0504" Properties=species:S:1:pos:R:3 pbc="T T T"
N 0.0000 0.0000 0.0000
Zr 3.0453 1.7871 1.9205
Zr 1.9097 1.1207 9.1553
Hg 0.6612 0.3880 6.4480
Hg 4.2937 2.5197 4.6279
```

## Properties
DOS(E_F) ... 2.69 states/eV/f.u.
Uncorrected energy ... -5.950 eV/atom
E_form (uncorrected) ... -0.7451 eV per atom
Total magnetization ... 0.00 μB per atom
Space group ... R-3m, No. 166



[9]
## In2NiW (PBE)

Data for crystalline In2NiW at its relaxed geometry.

```
4
Lattice="0.0000 3.2748 3.2748 3.2748 0.0000 3.2748 3.2748 3.2748 0.0000" Properties=species:S:1:pos:R:3 pbc="T T T"
Ni 0.0000 0.0000 0.0000
In 4.9123 4.9123 4.9123
In 1.6374 1.6374 1.6374
W 3.2748 3.2748 3.2748
```

## Properties
DOS(E_F) ... 3.27 states/eV/f.u.
Uncorrected energy ... -5.435 eV/atom
DFT formation energy ... 0.618 eV per atom
Total magnetization ... 0.22 μB per atom
Space group ... Fm-3m, No. 225



[10]
## Pm2GaHg (PBE)

Data for crystalline Pm2GaHg at its relaxed geometry.

```
4
Lattice="3.6542 0.0000 0.0000 0.0000 3.6542 0.0000 0.0000 0.0000 7.8308" Properties=species:S:1:pos:R:3 pbc="T T T"
Ga 1.8271 1.8271 0.0000
Pm 0.0000 0.0000 1.8389
Pm 0.0000 0.0000 5.9919
Hg 1.8271 1.8271 3.9154
```

## Properties
DOS(E_F) ... 2.99 states/eV/f.u.
Uncorrected energy ... -3.730 eV/atom
DFT formation energy ... -0.522 eV per atom
Total magnetization ... 0.00 μB per atom
Space group ... P4/mmm, No. 123



[11]
## NpMnP2 (PBE)

Data for crystalline NpMnP2 at its relaxed geometry.

```
4
Lattice="-2.2510 1.1703 2.7480 1.2288 0.0458 3.5321 1.4235 5.3919 1.4149" Properties=species:S:1:pos:R:3 pbc="T T T"
Np 0.2007 3.3040 3.8475
P 0.4114 5.2680 5.7289
P -0.0100 1.3400 1.9662
Mn 0.0000 0.0000 0.0000
```

## Properties
DOS(E_F) ... 7.46 states/eV/f.u.
Uncorrected energy ... -8.870 eV/atom
DFT formation energy ... -0.637 eV per atom
Total magnetization ... 0.50 μB per atom
Space group ... R-3m, No. 166



[12]
## LiPa2Si4Ir3 (PBE)

Data for crystalline LiPa2Si4Ir3 at its relaxed geometry.

```
10
Lattice="-1.0629 -3.1178 2.5097 -0.0134 -2.5939 -3.2281 9.4848 -1.9827 1.5537" Properties=species:S:1:pos:R:3 pbc="T T T"
Si 5.4458 -2.8084 2.2340
Si -0.5381 -2.8558 -0.3592
Si 3.5008 -2.0301 -1.0395
Si 0.0000 0.0000 0.0000
Pa 1.8520 -2.0571 1.6453
Pa 7.0946 -2.7814 -0.4508
Ir 7.7426 -3.2885 2.6102
Ir 1.2040 -1.5500 -1.4157
Ir 4.7424 -0.9913 0.7769
Li 4.2042 -3.8472 0.4177
```

## Properties
DOS(E_F) ... 6.69 states/eV/f.u.
Uncorrected energy ... -7.758 eV/atom
E_form (uncorrected) ... -0.8401 eV per atom
Total magnetization ... 0.00 μB per atom
Space group ... P-4m2, No. 115